# 1
Pm2LuHg after structural relaxation, computed with PBE.

Cell: 5.4719 5.4719 5.4719 Å, 60.00 60.00 60.00°
With the nearest neighbours (Å) after each atom.
Positions (direct):
Lu  0.0000  0.0000  0.0000  8 Pm 3.35
Hg  0.5000  0.5000  0.5000  8 Pm 3.35
Pm  0.2500  0.2500  0.2500  4 Hg 3.35, 4 Lu 3.35
Pm  0.7500  0.7500  0.7500  4 Hg 3.35, 4 Lu 3.35

Calculated formation energy = -0.088 eV/atom
Space group = Fm-3m, No. 225
Offset from the most stable computed form = 115 meV per atom
Fermi-level density of states = 1.32 states/eV/atom
Calculated volume = 116 Å³/cell

***

# 2
BeCr2Fe after structural relaxation, computed with PBE.

Cell: 3.9174 3.9174 3.9174 Å, 60.00 60.00 60.00°
With the nearest neighbours (Å) after each atom.
Positions (direct):
Cr  0.0000  0.0000  0.0000  4 Cr 2.40, 4 Fe 2.40
Cr  0.2500  0.2500  0.2500  4 Cr 2.40, 4 Be 2.40
Fe  0.7500  0.7500  0.7500  4 Be 2.40, 4 Cr 2.40
Be  0.5000  0.5000  0.5000  4 Fe 2.40, 4 Cr 2.40

Calculated formation energy = 0.010 eV/atom
Space group = F-43m, No. 216
Fermi-level density of states = 0.65 states/eV/atom
Calculated volume = 43 Å³/cell